(1)
PdS3F: relaxed, PBEsol.

- symmetry = Pm-3m, No. 221
- theoretical density (g cm⁻³) = 3.7

Geometry as POSCAR:
```
PdS3F
1.0
4.636 0.000 0.000
0.000 4.636 0.000
0.000 0.000 4.636
Pd S F
1 3 1
Direct
0.000 0.000 0.000 Pd
0.000 0.000 0.500 S
0.000 0.500 0.000 S
0.500 0.000 0.000 S
0.500 0.500 0.500 F
```

(2)
SbPdSF2: relaxed, PBEsol.

- symmetry = P4/mmm, No. 123
- theoretical density (g cm⁻³) = 5.7

Geometry as POSCAR:
```
SbPdSF2
1.0
4.054 0.000 0.000
0.000 4.054 0.000
0.000 0.000 5.300
Sb Pd S F
1 1 1 2
Direct
0.000 0.000 0.000 Sb
0.000 0.000 0.500 Pd
0.500 0.500 0.500 S
0.000 0.500 0.000 F
0.500 0.000 0.000 F
```

(3)
Si2SbPdF: relaxed, PBEsol.

- symmetry = P4/mmm, No. 123
- theoretical density (g cm⁻³) = 5.8

Geometry as POSCAR:
```
Si2SbPdF
1.0
4.283 0.000 0.000
0.000 4.283 0.000
0.000 0.000 4.769
Si Sb Pd F
2 1 1 1
Direct
0.000 0.500 0.000 Si
0.500 0.000 0.000 Si
0.000 0.000 0.500 Sb
0.500 0.500 0.500 Pd
0.000 0.000 0.000 F
```

(4)
PdSeF2: relaxed, PBEsol.

- polymorph energy (0 for the lowest one) (meV/atom) = 313
- symmetry = Fm-3m, No. 225
- theoretical density (g cm⁻³) = 7.4

Geometry as POSCAR:
```
PdSeF2
1.0
5.860 0.000 0.000
0.000 5.860 0.000
0.000 0.000 5.860
Pd Se F
4 4 8
Direct
0.000 0.000 0.000 Pd
0.000 0.500 0.500 Pd
0.500 0.000 0.500 Pd
0.500 0.500 0.000 Pd
0.000 0.000 0.500 Se
0.000 0.500 0.000 Se
0.500 0.000 0.000 Se
0.500 0.500 0.500 Se
0.250 0.250 0.250 F
0.250 0.250 0.750 F
0.250 0.750 0.250 F
0.250 0.750 0.750 F
0.750 0.250 0.250 F
0.750 0.250 0.750 F
0.750 0.750 0.250 F
0.750 0.750 0.750 F
```

(5)
PdSeF2: relaxed, PBEsol.

- polymorph energy (0 for the lowest one) (meV/atom) = 0
- symmetry = R-3m, No. 166
- theoretical density (g cm⁻³) = 6.7

Geometry as POSCAR:
```
PdSeF2
1.0
2.837 0.000 0.000
-1.419 2.457 0.000
0.000 0.000 23.848
Pd Se F
3 3 6
Direct
0.000 0.000 0.000 Pd
0.333 0.667 0.667 Pd
0.667 0.333 0.333 Pd
0.000 0.000 0.500 Se
0.333 0.667 0.167 Se
0.667 0.333 0.833 Se
0.000 0.000 0.419 F
0.000 0.000 0.581 F
0.333 0.667 0.086 F
0.333 0.667 0.248 F
0.667 0.333 0.752 F
0.667 0.333 0.914 F
```

(6)
Pd2SeF: relaxed, PBEsol.

- symmetry = Fm-3m, No. 225
- theoretical density (g cm⁻³) = 9.4

Geometry as POSCAR:
```
Pd2SeF
1.0
6.027 0.000 0.000
0.000 6.027 0.000
0.000 0.000 6.027
Pd Se F
8 4 4
Direct
0.250 0.250 0.250 Pd
0.250 0.250 0.750 Pd
0.250 0.750 0.250 Pd
0.250 0.750 0.750 Pd
0.750 0.250 0.250 Pd
0.750 0.250 0.750 Pd
0.750 0.750 0.250 Pd
0.750 0.750 0.750 Pd
0.000 0.000 0.000 Se
0.000 0.500 0.500 Se
0.500 0.000 0.500 Se
0.500 0.500 0.000 Se
0.000 0.000 0.500 F
0.000 0.500 0.000 F
0.500 0.000 0.000 F
0.500 0.500 0.500 F
```

no.,formation energy (no corrections) (meV/atom)
1,637.0
2,-862.3
3,190.8
4,-253.9
5,-567.0
6,-477.5